1.
Entry from Alexandria via LeMat-Bulk: a relaxed structure of Pm4Tl5Ag (PBE).

Output
Space-group type   No. 2
DFT formation energy   -300 meV per atom

Lattice parameters (Å, degrees): 5.1940 6.5929 9.2056 109.73 106.14 90.07
Atoms (fractional coordinates):
Pm 0.0872 0.3266 0.1732
Pm 0.3031 0.2113 0.6097
Pm 0.6969 0.7887 0.3903
Pm 0.9128 0.6734 0.8268
Tl 0.1068 0.8511 0.2081
Tl 0.2943 0.6947 0.5877
Tl 0.5000 0.0000 0.0000
Tl 0.7057 0.3053 0.4123
Tl 0.8932 0.1489 0.7919
Ag 0.5000 0.5000 0.0000

2.
Entry from Alexandria via LeMat-Bulk: a relaxed structure of Pm11Tl9Ag4 (PBE).

Output
Space-group type   No. 65
DFT formation energy   -340 meV per atom

Lattice parameters (Å, degrees): 13.7111 13.7111 3.8593 90.00 90.00 112.97
Atoms (fractional coordinates):
Pm 0.0000 0.0000 0.0000
Pm 0.0647 0.4100 0.0000
Pm 0.1638 0.8362 0.0000
Pm 0.2984 0.2984 0.0000
Pm 0.3670 0.6330 0.0000
Pm 0.4100 0.0647 0.0000
Pm 0.5900 0.9353 0.0000
Pm 0.6330 0.3670 0.0000
Pm 0.7016 0.7016 0.0000
Pm 0.8362 0.1638 0.0000
Pm 0.9353 0.5900 0.0000
Tl 0.0664 0.2140 0.5000
Tl 0.1548 0.6295 0.5000
Tl 0.2140 0.0664 0.5000
Tl 0.3705 0.8452 0.5000
Tl 0.5000 0.5000 0.5000
Tl 0.6295 0.1548 0.5000
Tl 0.7860 0.9336 0.5000
Tl 0.8452 0.3705 0.5000
Tl 0.9336 0.7860 0.5000
Ag 0.2490 0.4484 0.5000
Ag 0.4484 0.2490 0.5000
Ag 0.5516 0.7510 0.5000
Ag 0.7510 0.5516 0.5000

3.
Entry from Alexandria via LeMat-Bulk: a relaxed structure of Pm2TlAg (PBE).

Output
Space-group type   No. 123
Distance to the lowest polymorph of the same formula   1 kJ/mol of formula units
DFT formation energy   -322 meV per atom

Lattice parameters (Å, degrees): 3.7321 3.7321 7.9419 90.00 90.00 90.00
Atoms (fractional coordinates):
Pm 0.0000 0.0000 0.2357
Pm 0.0000 0.0000 0.7643
Tl 0.5000 0.5000 0.5000
Ag 0.5000 0.5000 0.0000

4.
Entry from Alexandria via LeMat-Bulk: a relaxed structure of Pm3Tl2Ag2 (PBE).

Output
Space-group type   No. 65
DFT formation energy   -318 meV per atom

Lattice parameters (Å, degrees): 11.5794 11.5794 3.5238 90.00 90.00 156.82
Atoms (fractional coordinates):
Pm 0.0000 0.0000 0.0000
Pm 0.1609 0.8391 0.0000
Pm 0.8391 0.1609 0.0000
Tl 0.4202 0.5798 0.5000
Tl 0.5798 0.4202 0.5000
Ag 0.2840 0.7160 0.5000
Ag 0.7160 0.2840 0.5000

5.
Entry from Alexandria via LeMat-Bulk: a relaxed structure of Pm4TlAg3 (PBE).

Output
Space-group type   No. 166
Distance to the lowest polymorph of the same formula   0 kJ/mol of formula units
DFT formation energy   -296 meV per atom

Lattice parameters (Å, degrees): 9.2364 9.2364 9.2364 33.55 33.55 33.55
Atoms (fractional coordinates):
Pm 0.1214 0.1214 0.1214
Pm 0.3721 0.3721 0.3721
Pm 0.6279 0.6279 0.6279
Pm 0.8786 0.8786 0.8786
Tl 0.5000 0.5000 0.5000
Ag 0.0000 0.0000 0.0000
Ag 0.2475 0.2475 0.2475
Ag 0.7525 0.7525 0.7525

6.
Entry from Alexandria via LeMat-Bulk: a relaxed structure of Pm2TlAg6 (PBE).

Output
Space-group type   No. 12
DFT formation energy   -141 meV per atom

Lattice parameters (Å, degrees): 6.3843 6.3843 5.8292 90.07 90.07 59.89
Atoms (fractional coordinates):
Pm 0.1665 0.1665 0.1616
Pm 0.8335 0.8335 0.8384
Tl 0.5000 0.5000 0.0000
Ag 0.1262 0.6867 0.3354
Ag 0.3127 0.3127 0.6649
Ag 0.3133 0.8738 0.6646
Ag 0.6867 0.1262 0.3354
Ag 0.6873 0.6873 0.3351
Ag 0.8738 0.3133 0.6646

7.
Entry from Alexandria via LeMat-Bulk: a relaxed structure of Pm3Tl4Ag2 (PBE).

Output
Space-group type   No. 12
DFT formation energy   -295 meV per atom

Lattice parameters (Å, degrees): 6.1954 6.1954 9.4647 114.98 114.98 47.68
Atoms (fractional coordinates):
Pm 0.0000 0.0000 0.0000
Pm 0.3331 0.3331 0.3417
Pm 0.6669 0.6669 0.6583
Tl 0.0520 0.0520 0.3783
Tl 0.2599 0.2599 0.9159
Tl 0.7401 0.7401 0.0841
Tl 0.9480 0.9480 0.6217
Ag 0.3922 0.3922 0.7213
Ag 0.6078 0.6078 0.2787

8.
Entry from Alexandria via LeMat-Bulk: a relaxed structure of PmTlAg4 (PBE).

Output
Space-group type   No. 216
DFT formation energy   -182 meV per atom

Lattice parameters (Å, degrees): 5.6699 5.6699 5.6699 60.00 60.00 60.00
Atoms (fractional coordinates):
Pm 0.0000 0.0000 0.0000
Tl 0.2500 0.2500 0.2500
Ag 0.1250 0.6250 0.6250
Ag 0.6250 0.1250 0.6250
Ag 0.6250 0.6250 0.1250
Ag 0.6250 0.6250 0.6250

9.
Entry from Alexandria via LeMat-Bulk: a relaxed structure of PmTl3Ag3 (PBE).

Output
Space-group type   No. 223
DFT formation energy   495 meV per atom

Lattice parameters (Å, degrees): 7.6676 7.6676 7.6676 90.00 90.00 90.00
Atoms (fractional coordinates):
Pm 0.0000 0.0000 0.0000
Pm 0.5000 0.5000 0.5000
Tl 0.0000 0.2500 0.5000
Tl 0.0000 0.7500 0.5000
Tl 0.2500 0.5000 0.0000
Tl 0.5000 0.0000 0.2500
Tl 0.5000 0.0000 0.7500
Tl 0.7500 0.5000 0.0000
Ag 0.0000 0.5000 0.2500
Ag 0.0000 0.5000 0.7500
Ag 0.2500 0.0000 0.5000
Ag 0.5000 0.2500 0.0000
Ag 0.5000 0.7500 0.0000
Ag 0.7500 0.0000 0.5000

10.
Entry from Alexandria via LeMat-Bulk: a relaxed structure of Pm2TlAg (PBE).

Output
Space-group type   No. 225
Distance to the lowest polymorph of the same formula   0 kJ/mol of formula units
DFT formation energy   -325 meV per atom

Lattice parameters (Å, degrees): 5.3950 5.3950 5.3950 60.00 60.00 60.00
Atoms (fractional coordinates):
Pm 0.2500 0.2500 0.2500
Pm 0.7500 0.7500 0.7500
Tl 0.0000 0.0000 0.0000
Ag 0.5000 0.5000 0.5000

11.
Entry from Alexandria via LeMat-Bulk: a relaxed structure of Pm5TlAg4 (PBE).

Output
Space-group type   No. 123
DFT formation energy   -290 meV per atom

Lattice parameters (Å, degrees): 3.7228 3.7228 19.1771 90.00 90.00 90.00
Atoms (fractional coordinates):
Pm 0.0000 0.0000 0.0000
Pm 0.0000 0.0000 0.1957
Pm 0.0000 0.0000 0.3914
Pm 0.0000 0.0000 0.6086
Pm 0.0000 0.0000 0.8043
Tl 0.5000 0.5000 0.5000
Ag 0.5000 0.5000 0.0974
Ag 0.5000 0.5000 0.2923
Ag 0.5000 0.5000 0.7077
Ag 0.5000 0.5000 0.9026

12.
Entry from Alexandria via LeMat-Bulk: a relaxed structure of Pm2TlAg2 (PBE).

Output
Space-group type   No. 127
DFT formation energy   -302 meV per atom

Lattice parameters (Å, degrees): 8.1219 8.1219 3.9498 90.00 90.00 90.00
Atoms (fractional coordinates):
Pm 0.1736 0.3264 0.0000
Pm 0.3264 0.8264 0.0000
Pm 0.6736 0.1736 0.0000
Pm 0.8264 0.6736 0.0000
Tl 0.0000 0.0000 0.5000
Tl 0.5000 0.5000 0.5000
Ag 0.1235 0.6235 0.5000
Ag 0.3765 0.1235 0.5000
Ag 0.6235 0.8765 0.5000
Ag 0.8765 0.3765 0.5000